1.
# MgTa4

An optimized crystal structure of MgTa4 (GGA-PBE, the Alexandria database).

## Properties
Energy above the lowest structure with this stoichiometry (meV per atom): 1661
Calculated density (g cm⁻³): 12.063
Formation enthalpy at 0 K (eV/f.u.): 9.42

Cell: 4.6872 4.6872 4.6872 Å, 90.00 90.00 90.00°
Atoms (fractional coordinates):
Mg (0.0000, 0.0000, 0.0000)
Ta (0.0000, 0.0000, 0.5000)
Ta (0.0000, 0.5000, 0.0000)
Ta (0.5000, 0.0000, 0.0000)
Ta (0.5000, 0.5000, 0.5000)

---

2.
# ErLuTh2

An optimized crystal structure of ErLuTh2 (GGA-PBE, the Alexandria database).

## Properties
Energy above the lowest structure with this stoichiometry (meV per atom): 0
Calculated density (g cm⁻³): 10.720
Formation enthalpy at 0 K (eV/f.u.): 0.13

Cell: 5.0176 5.0176 4.9607 Å, 90.00 90.00 90.00°
Atoms (fractional coordinates):
Er (0.0000, 0.0000, 0.0000)
Lu (0.5000, 0.5000, 0.0000)
Th (0.0000, 0.5000, 0.5000)
Th (0.5000, 0.0000, 0.5000)

---

- formation enthalpy at 0 K of number 1 (MgTa4)?
  9.42 eV/f.u.

---

- What is the calculated density in the first record?
  12.063 g cm⁻³